A plane-wave DFT calculation with PBE was carried out for a relaxed InPd2Au4 crystal.

Cell: 7.035 5.556 7.366 Å, 90.00 117.71 90.00°
Positions (direct):
In 0.056 0.250 0.314
In 0.944 0.750 0.686
Pd 0.054 0.750 0.383
Pd 0.228 0.250 0.050
Pd 0.772 0.750 0.950
Pd 0.946 0.250 0.617
Au 0.225 0.750 0.099
Au 0.355 0.001 0.777
Au 0.355 0.499 0.777
Au 0.498 0.250 0.482
Au 0.502 0.750 0.518
Au 0.645 0.501 0.223
Au 0.645 0.999 0.223
Au 0.775 0.250 0.901

Calculated values
Excess energy over the best structure of this formula in the dataset = 0.16 eV per formula unit
Fermi-level density of states = 0.39 states/eV per atom
E_form = -91 kJ/mol of formula units
Space group = P2_1/m, No. 11
Uncorrected energy = -3.88 eV per atom

***

A plane-wave DFT calculation with PBE was carried out for a relaxed In2PdAu2 crystal.

Cell: 6.972 6.972 6.972 Å, 145.19 145.19 50.06°
Positions (direct):
In 0.250 0.750 0.500
In 0.750 0.250 0.500
Pd 0.000 0.000 0.000
Au 0.397 0.397 0.000
Au 0.603 0.603 0.000

Calculated values
Excess energy over the best structure of this formula in the dataset = 1.78 eV per formula unit
Fermi-level density of states = 0.38 states/eV per atom
E_form = 61 kJ/mol of formula units
Space group = I4/mmm, No. 139
Uncorrected energy = -3.32 eV per atom

***

A plane-wave DFT calculation with PBE was carried out for a relaxed InPdAu5 crystal.

Cell: 6.620 6.620 6.620 Å, 106.45 91.28 133.97°
Positions (direct):
In 0.000 0.000 0.000
Pd 0.895 0.395 0.500
Au 0.405 0.077 0.672
Au 0.405 0.733 0.328
Au 0.450 0.712 0.738
Au 0.495 0.495 0.000
Au 0.974 0.712 0.262

Calculated values
Excess energy over the best structure of this formula in the dataset = 2.85 eV per formula unit
Fermi-level density of states = 0.46 states/eV per atom
E_form = 252 kJ/mol of formula units
Space group = Imm2, No. 44
Uncorrected energy = -3.10 eV per atom

***

A plane-wave DFT calculation with PBE was carried out for a relaxed In9Pd11Au4 crystal.

Cell: 11.919 11.919 3.130 Å, 90.00 90.00 104.94°
Positions (direct):
In 0.000 0.000 0.000
In 0.105 0.658 0.000
In 0.296 0.483 0.000
In 0.342 0.895 0.000
In 0.483 0.296 0.000
In 0.517 0.704 0.000
In 0.658 0.105 0.000
In 0.704 0.517 0.000
In 0.895 0.342 0.000
Pd 0.101 0.459 0.500
Pd 0.132 0.868 0.500
Pd 0.292 0.292 0.500
Pd 0.311 0.689 0.500
Pd 0.459 0.101 0.500
Pd 0.500 0.500 0.500
Pd 0.541 0.899 0.500
Pd 0.689 0.311 0.500
Pd 0.708 0.708 0.500
Pd 0.868 0.132 0.500
Pd 0.899 0.541 0.500
Au 0.084 0.243 0.000
Au 0.243 0.084 0.000
Au 0.757 0.916 0.000
Au 0.916 0.757 0.000

Calculated values
Fermi-level density of states = 0.36 states/eV per atom
E_form = -943 kJ/mol of formula units
Space group = Cmmm, No. 65
Uncorrected energy = -4.36 eV per atom

***

A plane-wave DFT calculation with PBE was carried out for a relaxed In2PdAu3 crystal.

Cell: 7.047 7.047 10.295 Å, 113.43 113.43 29.85°
Positions (direct):
In 0.002 0.002 0.343
In 0.289 0.289 0.636
In 0.711 0.711 0.364
In 0.998 0.998 0.657
Pd 0.382 0.382 0.435
Pd 0.618 0.618 0.565
Au 0.109 0.109 0.136
Au 0.220 0.220 0.864
Au 0.431 0.431 0.101
Au 0.569 0.569 0.899
Au 0.780 0.780 0.136
Au 0.891 0.891 0.864

Calculated values
Excess energy over the best structure of this formula in the dataset = 0.00 eV per formula unit
Fermi-level density of states = 0.28 states/eV per atom
E_form = -107 kJ/mol of formula units
Space group = C2/m, No. 12
Uncorrected energy = -3.60 eV per atom

***

A plane-wave DFT calculation with PBE was carried out for a relaxed In6Pd12Au crystal.

Cell: 7.446 7.446 7.446 Å, 107.09 107.09 107.09°
Positions (direct):
In 0.041 0.294 0.409
In 0.294 0.409 0.041
In 0.409 0.041 0.294
In 0.591 0.959 0.706
In 0.706 0.591 0.959
In 0.959 0.706 0.591
Pd 0.013 0.903 0.315
Pd 0.097 0.685 0.987
Pd 0.222 0.667 0.381
Pd 0.315 0.013 0.903
Pd 0.333 0.619 0.778
Pd 0.381 0.222 0.667
Pd 0.619 0.778 0.333
Pd 0.667 0.381 0.222
Pd 0.685 0.987 0.097
Pd 0.778 0.333 0.619
Pd 0.903 0.315 0.013
Pd 0.987 0.097 0.685
Au 0.500 0.500 0.500

Calculated values
Fermi-level density of states = 0.41 states/eV per atom
E_form = -703 kJ/mol of formula units
Space group = R-3, No. 148
Uncorrected energy = -4.70 eV per atom

***

A plane-wave DFT calculation with PBE was carried out for a relaxed In2Pd5Au crystal.

Cell: 5.708 5.708 5.708 Å, 118.40 118.40 92.79°
Positions (direct):
In 0.000 0.500 0.500
In 0.500 0.000 0.500
Pd 0.000 0.000 0.000
Pd 0.000 0.000 0.500
Pd 0.000 0.500 0.000
Pd 0.500 0.000 0.000
Pd 0.500 0.500 0.500
Au 0.500 0.500 0.000

Calculated values
Excess energy over the best structure of this formula in the dataset = 0.10 eV per formula unit
Fermi-level density of states = 0.52 states/eV per atom
E_form = -331 kJ/mol of formula units
Space group = I4/mmm, No. 139
Uncorrected energy = -4.77 eV per atom

***

A plane-wave DFT calculation with PBE was carried out for a relaxed InPd2Au2 crystal.

Cell: 6.919 6.919 3.910 Å, 90.00 90.00 90.00°
Positions (direct):
In 0.000 0.000 0.000
In 0.500 0.500 0.000
Pd 0.139 0.361 0.000
Pd 0.361 0.861 0.000
Pd 0.639 0.139 0.000
Pd 0.861 0.639 0.000
Au 0.158 0.658 0.500
Au 0.342 0.158 0.500
Au 0.658 0.842 0.500
Au 0.842 0.342 0.500

Calculated values
Excess energy over the best structure of this formula in the dataset = 0.47 eV per formula unit
Fermi-level density of states = 0.36 states/eV per atom
E_form = -89 kJ/mol of formula units
Space group = P4/mbm, No. 127
Uncorrected energy = -4.12 eV per atom

***

A plane-wave DFT calculation with PBE was carried out for a relaxed In2Pd3Au2 crystal.

Cell: 4.604 4.604 7.349 Å, 108.16 108.16 60.01°
Positions (direct):
In 0.090 0.090 0.269
In 0.910 0.910 0.731
Pd 0.224 0.224 0.674
Pd 0.500 0.500 0.500
Pd 0.776 0.776 0.326
Au 0.364 0.364 0.090
Au 0.636 0.636 0.910

Calculated values
Excess energy over the best structure of this formula in the dataset = 0.00 eV per formula unit
Fermi-level density of states = 0.32 states/eV per atom
E_form = -227 kJ/mol of formula units
Space group = C2/m, No. 12
Uncorrected energy = -4.28 eV per atom

***

A plane-wave DFT calculation with PBE was carried out for a relaxed In4PdAu2 crystal.

Cell: 7.656 7.656 7.656 Å, 139.79 139.79 58.17°
Positions (direct):
In 0.000 0.500 0.500
In 0.196 0.196 0.000
In 0.500 0.000 0.500
In 0.804 0.804 0.000
Pd 0.000 0.000 0.000
Au 0.394 0.394 0.000
Au 0.606 0.606 0.000

Calculated values
Excess energy over the best structure of this formula in the dataset = 1.26 eV per formula unit
Fermi-level density of states = 0.33 states/eV per atom
E_form = -64 kJ/mol of formula units
Space group = I4/mmm, No. 139
Uncorrected energy = -3.34 eV per atom

***

A plane-wave DFT calculation with PBE was carried out for a relaxed InPd5Au2 crystal.

Cell: 4.982 4.982 13.882 Å, 90.00 90.00 124.37°
Positions (direct):
In 0.054 0.946 0.750
In 0.946 0.054 0.250
Pd 0.090 0.910 0.077
Pd 0.090 0.910 0.423
Pd 0.254 0.746 0.604
Pd 0.254 0.746 0.896
Pd 0.257 0.743 0.250
Pd 0.743 0.257 0.750
Pd 0.746 0.254 0.104
Pd 0.746 0.254 0.396
Pd 0.910 0.090 0.577
Pd 0.910 0.090 0.923
Au 0.415 0.585 0.083
Au 0.415 0.585 0.417
Au 0.585 0.415 0.583
Au 0.585 0.415 0.917

Calculated values
Excess energy over the best structure of this formula in the dataset = 0.99 eV per formula unit
Fermi-level density of states = 0.59 states/eV per atom
E_form = -108 kJ/mol of formula units
Space group = Cmcm, No. 63
Uncorrected energy = -4.55 eV per atom

***

A plane-wave DFT calculation with PBE was carried out for a relaxed InPd6Au crystal.

Cell: 5.146 5.146 5.147 Å, 94.59 94.46 94.55°
Positions (direct):
In 0.000 0.000 0.000
Pd 0.042 0.456 0.749
Pd 0.251 0.958 0.544
Pd 0.456 0.749 0.042
Pd 0.544 0.251 0.958
Pd 0.749 0.042 0.456
Pd 0.958 0.544 0.251
Au 0.500 0.500 0.500

Calculated values
Excess energy over the best structure of this formula in the dataset = 0.71 eV per formula unit
Fermi-level density of states = 1.06 states/eV per atom
E_form = -107 kJ/mol of formula units
Space group = P-1, No. 2
Uncorrected energy = -4.79 eV per atom